# 1
La2GdMg after structural relaxation, computed with PBE-GGA.

Unit cell a=5.7066 b=5.7066 c=5.7066 alpha=60.00 beta=60.00 gamma=60.00
Atoms (fractional coordinates):
La 0.2500 0.2500 0.2500
La 0.7500 0.7500 0.7500
Gd 0.0000 0.0000 0.0000
Mg 0.5000 0.5000 0.5000

Output
**Crystal system**: cubic
**Space group**: No. 225
**M_tot**: 7.6 μB/f.u.
**DFT formation energy**: 0.005 eV per atom

=====

# 2
YSbAs2Au after structural relaxation, computed with PBE-GGA.

Unit cell a=5.3379 b=5.3379 c=5.8071 alpha=90.00 beta=90.00 gamma=90.00
Atoms (fractional coordinates):
Y 0.0000 0.0000 0.0000
Sb 0.0000 0.0000 0.5000
As 0.0000 0.5000 0.0000
As 0.5000 0.0000 0.0000
Au 0.5000 0.5000 0.5000

Output
**Crystal system**: tetragonal
**Space group**: No. 123
**M_tot**: 0.0 μB/f.u.
**Formation energy (no corrections)**: 0.62 eV/atom

=====

> Which of these has the highest M_tot?

La2GdMg